(1)
# LaTa2Fe (PBE-GGA, optimized geometry)
data_LaTa2Fe
_chemical_formula_sum 'La2 Ta4 Fe2'
_symmetry_space_group_name_H-M 'C m m m'
_symmetry_Int_Tables_number 65
_symmetry_space_group_name_Hall '-C 2 2'
_cell_length_a 5.427
_cell_length_b 10.215
_cell_length_c 2.858
_cell_angle_alpha 90.00
_cell_angle_beta 90.00
_cell_angle_gamma 90.00
loop_
_atom_site_label
_atom_site_type_symbol
_atom_site_fract_x
_atom_site_fract_y
_atom_site_fract_z
La1 La 0.000 0.000 0.000
Ta1 Ta 0.250 0.250 0.500
Fe1 Fe 0.000 0.500 0.000
# Fermi-level density of states	8.9	states/eV per cell
# energy relative to the lowest polymorph listed for this composition	520	meV per atom
# electronic total energy	-8.54	eV/atom
# E_form	0.73	eV/atom



(2)
# LaTa2Fe (PBE-GGA, optimized geometry)
data_LaTa2Fe
_chemical_formula_sum 'La3 Ta6 Fe3'
_symmetry_space_group_name_H-M 'R -3 m'
_symmetry_Int_Tables_number 166
_symmetry_space_group_name_Hall '-R 3 2"'
_cell_length_a 3.1211
_cell_length_b 3.1211
_cell_length_c 28.2254
_cell_angle_alpha 90.00
_cell_angle_beta 90.00
_cell_angle_gamma 120.00
loop_
_atom_site_label
_atom_site_type_symbol
_atom_site_fract_x
_atom_site_fract_y
_atom_site_fract_z
La1 La 0.0000 0.0000 0.0000
Ta1 Ta 0.0000 0.0000 0.2303
Fe1 Fe 0.0000 0.0000 0.5000
# Fermi-level density of states	14.4	states/eV per cell
# energy relative to the lowest polymorph listed for this composition	312	meV per atom
# electronic total energy	-8.75	eV/atom
# E_form	0.53	eV/atom



(3)
# LaTaFe2 (PBE-GGA, optimized geometry)
data_LaTaFe2
_chemical_formula_sum 'La4 Ta4 Fe8'
_symmetry_space_group_name_H-M 'I -4 2 d'
_symmetry_Int_Tables_number 122
_symmetry_space_group_name_Hall 'I -4 2bw'
_cell_length_a 6.876
_cell_length_b 6.876
_cell_length_c 6.116
_cell_angle_alpha 90.00
_cell_angle_beta 90.00
_cell_angle_gamma 90.00
loop_
_atom_site_label
_atom_site_type_symbol
_atom_site_fract_x
_atom_site_fract_y
_atom_site_fract_z
La1 La 0.000 0.000 0.000
Ta1 Ta 0.000 0.000 0.500
Fe1 Fe 0.223 0.250 0.625
# Fermi-level density of states	8.2	states/eV per cell
# electronic total energy	-7.78	eV/atom
# E_form	0.65	eV/atom



The lowest electronic total energy belongs to which entry?
number 2



Which value of electronic total energy does entry 2 give?
-8.75 eV/atom



Look up the E_form of the first one.
0.73 eV/atom



Repeat the first record exactly.
# LaTa2Fe (PBE-GGA, optimized geometry)
data_LaTa2Fe
_chemical_formula_sum 'La2 Ta4 Fe2'
_symmetry_space_group_name_H-M 'C m m m'
_symmetry_Int_Tables_number 65
_symmetry_space_group_name_Hall '-C 2 2'
_cell_length_a 5.427
_cell_length_b 10.215
_cell_length_c 2.858
_cell_angle_alpha 90.00
_cell_angle_beta 90.00
_cell_angle_gamma 90.00
loop_
_atom_site_label
_atom_site_type_symbol
_atom_site_fract_x
_atom_site_fract_y
_atom_site_fract_z
La1 La 0.000 0.000 0.000
Ta1 Ta 0.250 0.250 0.500
Fe1 Fe 0.000 0.500 0.000
# Fermi-level density of states	8.9	states/eV per cell
# energy relative to the lowest polymorph listed for this composition	520	meV per atom
# electronic total energy	-8.54	eV/atom
# E_form	0.73	eV/atom